## 1
Crystalline YTcAs2Se at its relaxed geometry, computed with PBE.

a b c (Å): 4.6679 4.6679 5.4719
angles (deg): 90.00 90.00 90.00
Space group P4/mmm (No. 123)
Symmetry-distinct sites (fractional):
Y: 0.0000 0.0000 0.0000 (multiplicity 1)
Tc: 0.5000 0.5000 0.5000 (multiplicity 1)
As: 0.0000 0.5000 0.5000 (multiplicity 2)
Se: 0.5000 0.5000 0.0000 (multiplicity 1)

## Properties
M_tot   0.000 Bohr magnetons per cell
N(E_F)   0.71 states/eV/atom

---

## 2
Crystalline YTcAs2Se at its relaxed geometry, computed with PBE.

a b c (Å): 5.3413 5.3413 5.2583
angles (deg): 90.00 90.00 90.00
Space group P4/mmm (No. 123)
Symmetry-distinct sites (fractional):
Y: 0.0000 0.0000 0.0000 (multiplicity 1)
Tc: 0.5000 0.5000 0.5000 (multiplicity 1)
As: 0.0000 0.5000 0.0000 (multiplicity 2)
Se: 0.0000 0.0000 0.5000 (multiplicity 1)

## Properties
M_tot   0.094 Bohr magnetons per cell
N(E_F)   1.47 states/eV/atom

---

Energies relative to the most stable structure, in kJ/mol of atoms: 1 0.0; 2 128.3.

---

## 1
Crystalline YTcAsSe2 at its relaxed geometry, computed with PBE.

a b c (Å): 5.3662 5.3662 5.4681
angles (deg): 90.00 90.00 90.00
Space group P4/mmm (No. 123)
Symmetry-distinct sites (fractional):
Y: 0.0000 0.0000 0.0000 (multiplicity 1)
Tc: 0.5000 0.5000 0.5000 (multiplicity 1)
As: 0.0000 0.0000 0.5000 (multiplicity 1)
Se: 0.0000 0.5000 0.0000 (multiplicity 2)

## Properties
M_tot   3.590 Bohr magnetons per cell
N(E_F)   0.79 states/eV/atom

---

## 2
Crystalline YTcAsSe2 at its relaxed geometry, computed with PBE.

a b c (Å): 5.0770 5.0770 4.6073
angles (deg): 90.00 90.00 90.00
Space group P4/mmm (No. 123)
Symmetry-distinct sites (fractional):
Y: 0.0000 0.0000 0.0000 (multiplicity 1)
Tc: 0.5000 0.5000 0.5000 (multiplicity 1)
As: 0.5000 0.5000 0.0000 (multiplicity 1)
Se: 0.0000 0.5000 0.5000 (multiplicity 2)

## Properties
M_tot   0.842 Bohr magnetons per cell
N(E_F)   0.78 states/eV/atom

---

Energies relative to the most stable structure, in kJ/mol of atoms: 1 79.7; 2 0.0.

---

## 1
Crystalline TeAsSe2 at its relaxed geometry, computed with PBE.

a b c (Å): 3.4688 4.3504 7.9441
angles (deg): 90.00 90.00 90.00
Space group Pmm2 (No. 25)
Symmetry-distinct sites (fractional):
Te: 0.0000 0.0000 0.0000 (multiplicity 1)
As: 0.5000 0.5000 0.6251 (multiplicity 1)
Se: 0.0000 0.0000 0.6803 (multiplicity 1)
Se: 0.5000 0.5000 0.3387 (multiplicity 1)

## Properties
M_tot   0.000 Bohr magnetons per cell
N(E_F)   0.38 states/eV/atom

---

## 2
Crystalline TeAsSe2 at its relaxed geometry, computed with PBE.

a b c (Å): 3.7889 3.7889 26.2472
angles (deg): 90.00 90.00 120.00
Space group R-3m (No. 166, hexagonal axes)
Symmetry-distinct sites (fractional):
Te: 0.0000 0.0000 0.0000 (multiplicity 3)
As: 0.0000 0.0000 0.5000 (multiplicity 3)
Se: 0.0000 0.0000 0.1055 (multiplicity 6)

## Properties
M_tot   0.000 Bohr magnetons per cell
N(E_F)   0.48 states/eV/atom

---

## 3
Crystalline TeAsSe2 at its relaxed geometry, computed with PBE.

a b c (Å): 7.0535 7.0535 7.0535
angles (deg): 90.00 90.00 90.00
Space group F-43m (No. 216)
Symmetry-distinct sites (fractional):
Te: 0.0000 0.0000 0.0000 (multiplicity 4)
As: 0.2500 0.2500 0.2500 (multiplicity 4)
Se: 0.0000 0.0000 0.5000 (multiplicity 4)
Se: 0.2500 0.2500 0.7500 (multiplicity 4)

## Properties
M_tot   0.000 Bohr magnetons per cell
N(E_F)   1.38 states/eV/atom

---

Energies relative to the most stable structure, in kJ/mol of atoms: 1 8.3; 2 0.0; 3 38.8.

---

## 1
Crystalline TeAsSe2 at its relaxed geometry, computed with PBE.

a b c (Å): 4.9970 4.1333 5.9003
angles (deg): 90.00 98.99 90.00
Space group Pm (No. 6)
Symmetry-distinct sites (fractional):
Te: 0.0000 0.0000 0.0000 (multiplicity 1)
As: 0.5990 0.5000 0.8240 (multiplicity 1)
Se: 0.2230 0.0000 0.6480 (multiplicity 1)
Se: 0.4651 0.5000 0.1858 (multiplicity 1)

## Properties
M_tot   0.000 Bohr magnetons per cell
N(E_F)   0.20 states/eV/atom

---

## 2
Crystalline TeAsSe2 at its relaxed geometry, computed with PBE.

a b c (Å): 3.6843 8.0262 8.1198
angles (deg): 90.00 90.00 90.00
Space group Immm (No. 71)
Symmetry-distinct sites (fractional):
Te: 0.0000 0.0000 0.0000 (multiplicity 2)
As: 0.0000 0.5000 0.0000 (multiplicity 2)
Se: 0.0000 0.2286 0.5000 (multiplicity 4)

## Properties
M_tot   0.000 Bohr magnetons per cell
N(E_F)   0.79 states/eV/atom

---

Energies relative to the most stable structure, in kJ/mol of atoms: 1 0.0; 2 22.2.

---

## 1
Crystalline TeAsSe2 at its relaxed geometry, computed with PBE.

a b c (Å): 3.4420 3.4420 7.5969
angles (deg): 90.00 90.00 90.00
Space group P4/mmm (No. 123)
Symmetry-distinct sites (fractional):
Te: 0.0000 0.0000 0.0000 (multiplicity 1)
As: 0.0000 0.0000 0.5000 (multiplicity 1)
Se: 0.5000 0.5000 0.2964 (multiplicity 2)

## Properties
M_tot   0.000 Bohr magnetons per cell
N(E_F)   0.54 states/eV/atom

---

## 2
Crystalline TeAsSe2 at its relaxed geometry, computed with PBE.

a b c (Å): 7.0150 3.9806 7.3672
angles (deg): 90.00 107.82 90.00
Space group C2/m (No. 12)
Symmetry-distinct sites (fractional):
Te: 0.0000 0.0000 0.0000 (multiplicity 2)
As: 0.0000 0.5000 0.5000 (multiplicity 2)
Se: 0.2412 0.0000 0.7240 (multiplicity 4)

## Properties
M_tot   0.000 Bohr magnetons per cell
N(E_F)   0.48 states/eV/atom

---

## 3
Crystalline TeAsSe2 at its relaxed geometry, computed with PBE.

a b c (Å): 4.9715 4.9715 3.5502
angles (deg): 90.00 90.00 90.00
Space group P4/mmm (No. 123)
Symmetry-distinct sites (fractional):
Te: 0.0000 0.0000 0.0000 (multiplicity 1)
As: 0.5000 0.5000 0.0000 (multiplicity 1)
Se: 0.0000 0.5000 0.5000 (multiplicity 2)

## Properties
M_tot   0.000 Bohr magnetons per cell
N(E_F)   0.78 states/eV/atom

---

Energies relative to the most stable structure, in kJ/mol of atoms: 1 27.3; 2 0.0; 3 32.3.

---

## 1
Crystalline TeAs2Se at its relaxed geometry, computed with PBE.

a b c (Å): 3.6258 3.6544 16.8013
angles (deg): 90.00 90.00 90.00
Space group Imm2 (No. 44)
Symmetry-distinct sites (fractional):
Te: 0.0000 0.0000 0.0000 (multiplicity 2)
As: 0.0000 0.0000 0.5722 (multiplicity 2)
As: 0.0000 0.5000 0.2148 (multiplicity 2)
Se: 0.0000 0.5000 0.7668 (multiplicity 2)

## Properties
M_tot   0.000 Bohr magnetons per cell
N(E_F)   0.53 states/eV/atom

---

## 2
Crystalline TeAs2Se at its relaxed geometry, computed with PBE.

a b c (Å): 3.7430 3.7430 7.8771
angles (deg): 90.00 90.00 90.00
Space group P4mm (No. 99)
Symmetry-distinct sites (fractional):
Te: 0.0000 0.0000 0.0000 (multiplicity 1)
As: 0.0000 0.0000 0.3246 (multiplicity 1)
As: 0.5000 0.5000 0.4003 (multiplicity 1)
Se: 0.5000 0.5000 0.6918 (multiplicity 1)

## Properties
M_tot   0.000 Bohr magnetons per cell
N(E_F)   0.49 states/eV/atom

---

Energies relative to the most stable structure, in kJ/mol of atoms: 1 2.0; 2 0.0.

---

## 1
Crystalline TeAs2Se at its relaxed geometry, computed with PBE.

a b c (Å): 3.5886 4.6930 11.6730
angles (deg): 90.00 90.00 90.00
Space group Cmm2 (No. 35)
Symmetry-distinct sites (fractional):
Te: 0.0000 0.0000 0.0000 (multiplicity 2)
As: 0.0000 0.0000 0.5505 (multiplicity 2)
As: 0.0000 0.5000 0.7266 (multiplicity 2)
Se: 0.0000 0.5000 0.3298 (multiplicity 2)

## Properties
M_tot   0.000 Bohr magnetons per cell
N(E_F)   0.48 states/eV/atom

---

## 2
Crystalline TeAs2Se at its relaxed geometry, computed with PBE.

a b c (Å): 16.8235 3.5485 4.0609
angles (deg): 90.00 95.77 90.00
Space group Cm (No. 8)
Symmetry-distinct sites (fractional):
Te: 0.0000 0.0000 0.0000 (multiplicity 2)
As: 0.0671 0.5000 0.6320 (multiplicity 2)
As: 0.2159 0.0000 0.6852 (multiplicity 2)
Se: 0.2701 0.5000 0.3549 (multiplicity 2)

## Properties
M_tot   0.000 Bohr magnetons per cell
N(E_F)   0.24 states/eV/atom

---

Energies relative to the most stable structure, in kJ/mol of atoms: 1 24.5; 2 0.0.

---

## 1
Crystalline TeAs2Se at its relaxed geometry, computed with PBE.

a b c (Å): 3.8517 3.8517 15.0996
angles (deg): 90.00 90.00 90.00
Space group I-4m2 (No. 119)
Symmetry-distinct sites (fractional):
Te: 0.0000 0.0000 0.0000 (multiplicity 2)
As: 0.0000 0.0000 0.5000 (multiplicity 2)
As: 0.0000 0.5000 0.7500 (multiplicity 2)
Se: 0.0000 0.5000 0.2500 (multiplicity 2)

## Properties
M_tot   0.144 Bohr magnetons per cell
N(E_F)   0.81 states/eV/atom

---

## 2
Crystalline TeAs2Se at its relaxed geometry, computed with PBE.

a b c (Å): 7.2145 7.2145 8.4237
angles (deg): 90.00 90.00 90.00
Space group I-42d (No. 122)
Symmetry-distinct sites (fractional):
Te: 0.0000 0.0000 0.0000 (multiplicity 4)
As: 0.2322 0.2500 0.6250 (multiplicity 8)
Se: 0.0000 0.0000 0.5000 (multiplicity 4)

## Properties
M_tot   0.000 Bohr magnetons per cell
N(E_F)   0.55 states/eV/atom

---

Energies relative to the most stable structure, in kJ/mol of atoms: 1 13.2; 2 0.0.